1.
# PmNdMgOs

A relaxed PmNdMgOs crystal (GGA-PBE, the Alexandria database).

Summary:
Size of the total moment   0.000 μB/f.u.
Calculated volume   24.04 A^3/atom
ρ   8.7 g cm⁻³
Total energy   -5.587 eV/atom

a b c (Å): 5.1423 5.1423 5.1423
angles (deg): 60.00 60.00 60.00
Last column: nearest neighbours and their distance in Å.
Element x y z (fractional)
Mg (0.0000, 0.0000, 0.0000)  4 Nd 3.15, 4 Pm 3.15
Nd (0.7500, 0.7500, 0.7500)  4 Mg 3.15, 4 Os 3.15
Pm (0.2500, 0.2500, 0.2500)  4 Mg 3.15, 4 Os 3.15
Os (0.5000, 0.5000, 0.5000)  4 Nd 3.15, 4 Pm 3.15

=====

2.
# HfCdNiPb2

A relaxed HfCdNiPb2 crystal (GGA-PBE, the Alexandria database).

Summary:
Size of the total moment   0.000 μB/f.u.
Calculated volume   25.30 A^3/atom
ρ   10.0 g cm⁻³
Total energy   -4.484 eV/atom

a b c (Å): 5.0610 4.9382 5.0610
angles (deg): 90.00 90.00 90.00
Last column: nearest neighbours and their distance in Å.
Element x y z (fractional)
Ni (0.0000, 0.0000, 0.0000)  2 Hf 2.47, 4 Pb 2.53
Pb (0.5000, 0.0000, 0.0000)  2 Ni 2.53
Pb (0.0000, 0.0000, 0.5000)  2 Ni 2.53
Cd (0.5000, 0.5000, 0.5000)  8 Pb 3.54, 4 Hf 3.58
Hf (0.0000, 0.5000, 0.0000)  2 Ni 2.47

=====

- Which value of size of the total moment does entry 2 give?
  0.000 μB/f.u.

=====

- The lowest total energy belongs to which entry?
  PmNdMgOs

=====

- The lowest ρ belongs to which entry?
  PmNdMgOs

=====

Please write out number 1 again, unchanged.
# PmNdMgOs

A relaxed PmNdMgOs crystal (GGA-PBE, the Alexandria database).

Summary:
Size of the total moment   0.000 μB/f.u.
Calculated volume   24.04 A^3/atom
ρ   8.7 g cm⁻³
Total energy   -5.587 eV/atom

a b c (Å): 5.1423 5.1423 5.1423
angles (deg): 60.00 60.00 60.00
Last column: nearest neighbours and their distance in Å.
Element x y z (fractional)
Mg (0.0000, 0.0000, 0.0000)  4 Nd 3.15, 4 Pm 3.15
Nd (0.7500, 0.7500, 0.7500)  4 Mg 3.15, 4 Os 3.15
Pm (0.2500, 0.2500, 0.2500)  4 Mg 3.15, 4 Os 3.15
Os (0.5000, 0.5000, 0.5000)  4 Nd 3.15, 4 Pm 3.15